Rb2ZnTe2O6: optimized geometry, PBE-GGA.

abc: 5.5831 5.5831 7.6003
angles: 105.28 105.28 70.82
Last column: nearest neighbours and their distance in Å.
Fractional coordinates of all 11 atoms:
Rb 0.1983 0.1983 0.1493  5 O 2.79-2.97
Rb 0.8017 0.8017 0.8507  5 O 2.79-2.97
Zn 0.0000 0.0000 0.5000  2 O 1.96
Te 0.3907 0.3907 0.7479  3 O 1.89
Te 0.6093 0.6093 0.2521  3 O 1.89
O 0.2209 0.2209 0.5238  1 Te 1.89, 1 Zn 1.96
O 0.2557 0.7127 0.2679  1 Te 1.89
O 0.2873 0.7443 0.7321  1 Te 1.89
O 0.7127 0.2557 0.2679  1 Te 1.89
O 0.7443 0.2873 0.7321  1 Te 1.89
O 0.7791 0.7791 0.4762  1 Te 1.89, 1 Zn 1.96

## Properties
Final energy (eV/atom): -4.78
Space-group type: No. 12
Formation energy without anion corrections (eV/f.u.): -13.4
DOS(E_F) (states/eV/f.u.): 0.00